First-principles (PBEsol) data for a relaxed structure of CuP2Ru, as listed in the Alexandria database.

a = 2.7660 Å, b = 3.4654 Å, c = 6.1172 Å
α = 106.45°, β = 103.07°, γ = 90.00°
With the nearest neighbours (Å) after each atom.
Atoms (fractional coordinates):
Cu  0.1940  0.6940  0.3880  6 P 2.44-2.50
P  0.0433  0.0433  0.0866  4 Ru 2.38, 2 Cu 2.44
P  0.7959  0.2959  0.5917  2 Ru 2.39, 4 Cu 2.50
Ru  0.4668  0.4668  0.9337  6 P 2.38-2.39

Summary:
- formation enthalpy at 0 K (eV/atom) = -0.098
- spin magnetization (μB per cell) = 0.00
- space group = Imm2 (44)
- energy above the lowest structure with this stoichiometry (eV/atom) = 0.000